No. 1
KCd3Ga | the Alexandria database | GGA-PBE | optimized geometry; energy above the most stable polymorph in this dataset = 0.000 eV/atom; ΔH_f (0 K) = -74 meV/atom; Fermi-level density of states = 0.4196 states/eV/atom; final energy = -1.448 eV per atom
1.0
4.487 0.000 -1.808
-0.728 4.427 -1.808
0.137 0.161 6.810
Cd Ga K
3 1 1
Cartesian
0.682 3.445 1.691
3.289 1.232 1.691
1.655 1.950 4.107
2.454 2.891 -0.381
0.074 0.087 0.183



No. 2
Cs2Na12Te7 | the Alexandria database | GGA-PBE | optimized geometry; Fermi-level density of states = 0.0000 states/eV/atom; final energy = -2.831 eV per atom; raw formation energy = -0.949 eV/atom
1.0
4.980 0.000 0.000
0.000 11.005 -6.354
0.000 0.000 12.707
Te Na Cs
7 12 2
Cartesian
2.490 6.855 3.092
0.000 2.466 1.856
0.000 8.164 7.561
2.490 10.255 -1.129
0.000 3.668 6.354
2.490 4.899 -1.963
0.000 0.374 9.643
2.490 7.911 -3.276
0.000 8.393 4.406
0.000 2.993 -1.288
2.490 2.381 4.357
2.490 4.212 1.140
0.000 5.010 3.625
0.000 5.360 8.880
0.000 10.624 -3.118
2.490 9.886 2.136
0.000 0.634 6.555
2.490 2.583 8.467
2.490 6.041 6.237
0.000 7.336 0.000
2.490 0.000 0.000



No. 3
TbMg2Ga2Au2 | the Alexandria database | GGA-PBE | optimized geometry; ΔH_f (0 K) = -563 meV/atom; Fermi-level density of states = 0.5766 states/eV/atom; final energy = -3.481 eV per atom
1.0
4.525 0.000 0.000
2.262 3.919 0.000
2.262 1.306 8.021
Mg Ga Au Tb
2 2 2 1
Cartesian
2.262 1.306 4.805
6.787 3.919 3.216
4.525 2.612 6.369
4.525 2.612 1.652
6.787 3.919 6.048
2.262 1.306 1.973
0.000 0.000 0.000



No. 4
Pr3IrPd2 | the Alexandria database | GGA-PBE | optimized geometry; ΔH_f (0 K) = -656 meV/atom; Fermi-level density of states = 0.6290 states/eV/atom; final energy = -6.253 eV per atom
1.0
-3.428 -1.901 -2.057
6.781 -2.387 -9.096
2.872 -10.465 4.887
Ir Pr Pd
4 12 8
Cartesian
0.363 -2.138 -1.012
2.727 -6.785 -5.419
3.498 -7.968 -0.846
5.861 -12.616 -5.254
1.800 -1.846 -3.676
3.265 -5.552 -2.693
1.577 -6.494 0.993
1.607 -10.149 -0.444
6.614 -10.035 -4.131
4.425 -12.908 -2.589
2.959 -9.202 -3.573
4.617 -4.605 -5.822
4.175 -4.903 -9.573
-0.390 -4.719 -2.135
2.050 -9.851 3.308
4.648 -8.259 -7.259
5.309 -7.359 -4.430
-0.536 -8.578 1.676
1.258 -4.482 -5.100
0.915 -7.395 -1.836
7.447 -12.838 -2.927
4.967 -10.271 -1.166
-1.222 -1.915 -3.339
6.760 -6.176 -7.942



No. 5
CaFe2Hg | the Alexandria database | GGA-PBE | optimized geometry; ΔH_f (0 K) = 170 meV/atom; Fermi-level density of states = 0.8154 states/eV/atom; final energy = -4.637 eV per atom
1.0
-1.583 -1.058 -2.674
1.687 -2.735 0.082
-3.327 -5.696 4.222
Fe Ca Hg
2 1 1
Cartesian
-0.945 -2.485 -0.473
1.338 -2.940 0.370
-2.140 -6.924 1.990
-0.608 -4.090 1.977



No. 6
Cu2TcMo | the Alexandria database | GGA-PBE | optimized geometry; energy above the most stable polymorph in this dataset = 0.022 eV/atom; ΔH_f (0 K) = 187 meV/atom; Fermi-level density of states = 0.7786 states/eV/atom; final energy = -7.160 eV per atom
1.0
-1.666 0.484 -1.959
-1.117 -1.884 1.432
-3.830 5.850 4.705
Tc Mo Cu
1 1 2
Cartesian
-4.294 3.733 3.301
-1.894 2.893 2.327
-2.306 0.697 0.860
-0.034 0.053 0.042



No. 7
NaEuCu2F8 | the Alexandria database | GGA-PBE | optimized geometry; Fermi-level density of states = 1.2213 states/eV/atom; final energy = -5.329 eV per atom; raw formation energy = -2.432 eV/atom
1.0
6.530 0.041 0.000
1.807 6.275 0.000
-4.168 -3.158 3.911
F Eu Na Cu
8 1 1 2
Cartesian
3.492 1.899 1.999
4.844 4.417 1.999
0.171 -2.378 3.315
6.411 2.350 0.595
-1.395 -0.310 1.912
-0.171 2.378 3.315
1.395 0.310 1.912
1.926 3.967 0.595
0.000 0.000 0.000
4.168 3.158 0.000
3.265 0.021 1.955
0.903 3.138 1.955



No. 8
ZrTl2Ag | the Alexandria database | GGA-PBE | optimized geometry; energy above the most stable polymorph in this dataset = 0.053 eV/atom; ΔH_f (0 K) = 63 meV/atom; Fermi-level density of states = 0.5455 states/eV/atom; final energy = -3.970 eV per atom
1.0
5.489 -0.010 -0.003
-3.976 6.160 0.005
0.007 1.623 2.716
Tl Ag Zr
2 1 1
Cartesian
0.000 0.000 0.000
-1.984 3.892 1.360
2.748 0.807 1.357
0.757 3.075 0.001



Question: What is the Fermi-level density of states in the seventh record?
Answer: 1.2213 states/eV/atom



Copy entry 1 word for word.
KCd3Ga | the Alexandria database | GGA-PBE | optimized geometry; energy above the most stable polymorph in this dataset = 0.000 eV/atom; ΔH_f (0 K) = -74 meV/atom; Fermi-level density of states = 0.4196 states/eV/atom; final energy = -1.448 eV per atom
1.0
4.487 0.000 -1.808
-0.728 4.427 -1.808
0.137 0.161 6.810
Cd Ga K
3 1 1
Cartesian
0.682 3.445 1.691
3.289 1.232 1.691
1.655 1.950 4.107
2.454 2.891 -0.381
0.074 0.087 0.183